MgIr2Cl at its PBEsol-relaxed geometry. Source: the Alexandria database, functional SCAN.

Cell and atoms, written as POSCAR:
```
MgIr2Cl
1.0
-0.4813 2.7662 -0.6775
0.3567 -1.9655 -2.0861
-8.4788 -1.4870 -0.0487
Mg Cl Ir
1 1 2
Direct
0.0000 0.0000 0.4913
0.5000 0.5000 0.2688
0.0000 0.0000 0.9944
0.5000 0.5000 0.7455
```

Computed properties:
Raw total energy ... -38.61 eV/atom
SG ... Cmm2
Density of states at the Fermi level ... 2.68 states/eV per cell
E above lowest polymorph ... 0 meV/atom
Raw formation energy ... 0.1756 eV/atom

***

MgIr2Cl at its PBEsol-relaxed geometry. Source: the Alexandria database, functional SCAN.

Cell and atoms, written as POSCAR:
```
MgIr2Cl
1.0
-0.6030 4.0946 -1.2483
-3.6000 -1.7292 1.6546
2.9211 -0.3062 3.1720
Cl Mg Ir
1 1 2
Direct
0.5000 0.7500 0.2500
0.0000 0.5000 0.5000
0.5000 0.2500 0.7500
0.0000 0.0000 0.0000
```

Computed properties:
Raw total energy ... -38.25 eV/atom
SG ... I-4m2
Density of states at the Fermi level ... 4.08 states/eV per cell
E above lowest polymorph ... 364 meV/atom
Raw formation energy ... 0.5393 eV/atom

***

MgIrSCl2 at its PBEsol-relaxed geometry. Source: the Alexandria database, functional SCAN.

Cell and atoms, written as POSCAR:
```
MgIrSCl2
1.0
-2.4602 -1.2309 3.5504
3.7003 -1.5325 2.0328
0.7401 4.5683 2.0966
Cl S Ir Mg
2 1 1 1
Direct
0.0000 0.5000 0.0000
0.5000 0.0000 0.0000
0.0000 0.0000 0.5000
0.5000 0.5000 0.5000
0.0000 0.0000 0.0000
```

Computed properties:
Raw total energy ... -20.09 eV/atom
SG ... P4/mmm
Density of states at the Fermi level ... 1.13 states/eV per cell
Raw formation energy ... 0.2376 eV/atom